Compound: Li2Tb3NdSe6
Source: Alexandria via LeMat-Bulk
Functional: GGA-PBE
Structure: relaxed

Total DFT energy (no corrections) = -5.351 eV per atom
Total magnetization = 0.00 μB per formula unit
Space group = C2/m, No. 12
ΔE_f (raw) = -1.7349 eV per atom

Unit cell a=7.0695 b=7.0695 c=7.1066 alpha=99.60 beta=99.60 gamma=119.99
Atoms (fractional coordinates):
Li1 0.1685 0.8315 0.0000
Li2 0.8315 0.1685 0.0000
Tb1 0.0000 0.0000 0.5000
Tb2 0.3353 0.6647 0.5000
Tb3 0.6647 0.3353 0.5000
Nd1 0.5000 0.5000 0.0000
Se1 0.0740 0.4178 0.7523
Se2 0.2381 0.2381 0.2466
Se3 0.4178 0.0740 0.7523
Se4 0.5822 0.9260 0.2477
Se5 0.7619 0.7619 0.7534
Se6 0.9260 0.5822 0.2477